1.
The following is a DFT calculation (GGA-PBE) of an optimized crystal structure of Nd2SnSe.

Calculated values
Energy relative to the lowest polymorph listed for this composition, eV/atom: 0.158

Cell and atoms, written as POSCAR:
```
Nd2SnSe
1.0
-2.683 -2.271 -2.442
-2.365 -3.113 1.743
-7.313 3.296 1.218
Se Sn Nd
1 1 2
direct
0.498 0.498 0.506
0.667 0.667 0.998
0.084 0.084 0.749
0.251 0.251 0.247
```

2.
The following is a DFT calculation (GGA-PBE) of an optimized crystal structure of AcUP2.

Calculated values
Energy relative to the lowest polymorph listed for this composition, eV/atom: 0.296
Energy of formation, meV/atom: -852.9

Cell and atoms, written as POSCAR:
```
AcUP2
1.0
-2.276 0.335 2.699
-1.585 -3.024 -0.961
4.468 -3.684 4.225
P U Ac
2 1 1
direct
0.000 0.000 0.221
0.000 0.000 0.779
0.500 0.500 0.000
0.500 0.500 0.500
```

3.
The following is a DFT calculation (GGA-PBE) of an optimized crystal structure of Ba2ScIn2.

Calculated values
Energy relative to the lowest polymorph listed for this composition, eV/atom: 0.333
Energy of formation, meV/atom: 178.1

Cell and atoms, written as POSCAR:
```
Ba2ScIn2
1.0
-2.451 2.451 7.669
2.451 -2.451 7.669
2.451 2.451 -7.669
In Sc Ba
2 1 2
direct
0.412 0.412 0.000
0.588 0.588 0.000
0.000 0.000 0.000
0.750 0.250 0.500
0.250 0.750 0.500
```

4.
The following is a DFT calculation (GGA-PBE) of an optimized crystal structure of AgSb2SI.

Calculated values
Energy relative to the lowest polymorph listed for this composition, eV/atom: 0.166

Cell and atoms, written as POSCAR:
```
AgSb2SI
1.0
5.448 0.000 0.000
0.000 5.448 0.000
0.000 0.000 5.326
Ag S I Sb
1 1 1 2
direct
0.000 0.000 0.000
0.500 0.500 0.500
0.000 0.000 0.500
0.500 0.000 0.000
0.000 0.500 0.000
```